Record 1
DFT (PBE) results for a relaxed DyTm12Sc7 crystal.

Geometry as POSCAR:
```
DyTm12Sc7
1.0
-5.408 5.408 5.408
5.408 -5.408 5.408
5.408 5.408 -5.408
Dy Tm Sc
1 12 7
Cartesian
0.000 0.000 0.000
5.408 -2.611 2.620
2.797 2.788 0.000
8.019 2.788 0.000
2.620 5.408 -2.611
2.788 0.000 2.797
5.408 2.611 2.620
0.000 2.797 2.788
2.620 5.408 2.611
2.788 0.000 8.019
-2.611 2.620 5.408
2.611 2.620 5.408
0.000 8.019 2.788
2.704 2.704 -2.704
2.704 -2.704 2.704
5.408 0.000 0.000
-2.704 2.704 2.704
0.000 5.408 0.000
0.000 0.000 5.408
2.704 2.704 2.704
```

Its calculated formation energy is 701 meV/atom. For the energy above the most stable polymorph in this dataset, the calculation gives 424 meV/atom. The space-group type is No. 204.



Record 2
DFT (PBE) results for a relaxed DyTmSc2 crystal.

Geometry as POSCAR:
```
DyTmSc2
1.0
6.591 0.000 0.000
0.000 8.050 0.000
-0.005 0.000 8.493
Dy Tm Sc
4 4 8
Cartesian
0.825 0.242 2.717
0.822 3.782 6.964
5.765 4.267 1.530
5.762 7.807 5.776
2.474 4.222 1.527
2.472 7.852 5.773
4.115 0.198 2.720
4.113 3.827 6.967
0.837 5.378 4.168
0.835 6.696 8.415
2.486 1.352 0.072
2.483 2.672 4.318
4.104 5.377 4.175
4.101 6.697 8.422
5.752 1.353 0.079
5.750 2.672 4.325
```

Its calculated formation energy is 182 meV/atom. For the energy above the most stable polymorph in this dataset, the calculation gives 139 meV/atom. The space-group type is No. 14.



Record 3
DFT (PBE) results for a relaxed Dy2Tm7Sc3 crystal.

Geometry as POSCAR:
```
Dy2Tm7Sc3
1.0
2.754 -18.257 0.000
2.754 18.257 0.000
0.000 0.000 3.479
Dy Tm Sc
2 7 3
Cartesian
2.754 12.831 0.000
2.754 -12.831 0.000
0.000 0.000 0.000
2.754 15.647 1.739
2.754 9.794 0.000
2.754 3.334 0.000
2.754 -3.334 0.000
2.754 -9.794 0.000
2.754 -15.647 1.739
2.754 6.799 1.739
2.754 0.000 1.739
2.754 -6.799 1.739
```

Its calculated formation energy is 165 meV/atom. The space-group type is No. 65.